Rb2PmAg2I6 | PBE | relaxed

## Properties
- Raw total energy: -0.215 Ry/atom
- SG: C2/m (12)
- Crystal system: monoclinic
- Total moment: 0.00 Bohr magnetons per cell
- Volume: 510.9 Å³/f.u.

Cell: 9.474 8.376 8.772 Å, 112.10 90.00 124.44°
Fractional coordinates of all 11 atoms:
I1 0.748 0.496 0.613
I2 0.683 0.913 0.217
I3 0.317 0.087 0.783
I4 0.230 0.913 0.217
I5 0.770 0.087 0.783
I6 0.252 0.504 0.387
Ag1 0.965 0.931 0.626
Ag2 0.035 0.069 0.374
Rb1 0.282 0.565 0.828
Rb2 0.718 0.435 0.172
Pm1 0.500 0.000 0.500